Mn2FeWO8 PBE with a Hubbard U relaxed; space group = P2/m; VASP energy = -84.91 eV/cell
1.0
4.6066 -0.0228 -0.0030
0.0083 4.5997 -0.0051
0.0037 0.0067 6.0001
O Fe W Mn
8 1 1 2
Direct
0.6957 0.6982 0.0000 O
0.3102 0.3080 0.5000 O
0.8025 0.2004 0.7600 O
0.3043 0.3018 0.0000 O
0.8025 0.2004 0.2400 O
0.1975 0.7996 0.2400 O
0.1975 0.7996 0.7600 O
0.6898 0.6920 0.5000 O
0.0000 0.0000 0.5000 Fe
0.0000 0.0000 0.0000 W
0.5000 0.5000 0.2568 Mn
0.5000 0.5000 0.7432 Mn